# 1
NaCe3In12 PBE relaxed; E = -3.564 eV/atom; D(E_F) = 21.27 states/eV/f.u.
1.0
-2.254 3.589 2.047
-3.091 0.083 -3.549
-11.018 -12.228 9.307
Na Ce In
1 3 12
Cartesian
0.000 0.000 0.000
-2.748 -3.050 2.322
-5.509 -6.114 4.654
-8.269 -9.177 6.986
-2.672 1.836 -0.751
-5.462 -1.260 1.606
-8.181 -4.278 3.903
-10.899 -7.295 6.199
-2.482 0.291 2.168
-5.255 -2.787 4.511
-8.016 -5.851 6.844
-10.790 -8.929 9.186
-2.900 -1.462 -0.630
-5.673 -4.540 1.713
-8.435 -7.604 4.046
-11.208 -10.682 6.388

=====

# 2
NaCeIn PBE relaxed; E = -3.380 eV/atom; D(E_F) = 7.64 states/eV/f.u.
1.0
3.201 0.000 0.000
0.000 5.438 0.000
0.000 -2.719 4.709
Na Ce In
1 1 1
Cartesian
2.672 0.000 0.000
1.066 0.000 3.140
2.664 2.719 1.570

=====

# 3
NaCeIn2 PBE relaxed; E = -3.403 eV/atom; D(E_F) = 6.92 states/eV/f.u.
1.0
-2.500 1.765 4.413
-5.108 1.634 -0.280
-3.888 -2.947 2.243
Na Ce In
1 1 2
Cartesian
0.000 0.000 0.000
-5.748 0.226 3.188
-2.874 0.113 1.594
-8.622 0.338 4.782

=====

# 4
NaCe2In PBE relaxed; E = -3.944 eV/atom; D(E_F) = 12.16 states/eV/f.u.
1.0
4.989 0.000 0.000
0.000 4.728 0.000
0.000 0.000 4.728
Na Ce In
1 2 1
Cartesian
2.494 2.364 2.364
0.000 0.000 2.364
0.000 2.364 0.000
2.494 0.000 0.000

=====

# 5
NaCeIn2 PBE relaxed; E = -3.398 eV/atom; D(E_F) = 7.85 states/eV/f.u.
1.0
3.855 0.000 0.000
0.000 5.399 0.000
0.000 0.000 5.399
Na Ce In
1 1 2
Cartesian
1.927 0.000 0.000
1.927 2.700 2.700
0.000 0.000 2.700
0.000 2.700 0.000

=====

# 6
NaCe5In6 PBE relaxed; E = -4.250 eV/atom; D(E_F) = 27.63 states/eV/f.u.
1.0
-4.526 -1.383 -3.244
-3.780 -1.172 5.773
-4.322 7.153 2.865
Na Ce In
1 5 6
Cartesian
0.000 0.000 0.000
-6.373 3.561 0.794
-4.308 1.529 1.733
-1.890 -0.586 2.887
-8.320 3.069 3.662
-6.255 1.037 4.601
-7.532 0.501 1.584
-5.598 1.100 -1.370
-9.462 5.570 5.637
-3.166 -0.971 -0.243
-7.030 3.498 6.765
-5.096 4.098 3.810

=====

# 7
NaCe2In PBE relaxed; E = -3.907 eV/atom; D(E_F) = 9.69 states/eV/f.u.
1.0
3.205 0.000 0.000
1.603 2.776 0.000
1.603 0.925 12.647
Na Ce In
1 2 1
Cartesian
0.000 0.000 0.000
1.603 0.925 9.149
4.808 2.776 3.498
3.205 1.851 6.323

=====

# 8
NaCeIn2 PBE relaxed; E = -3.294 eV/atom; D(E_F) = 5.17 states/eV/f.u.
1.0
3.318 0.000 0.000
1.659 2.874 0.000
1.659 0.958 11.200
Na Ce In
1 1 2
Cartesian
0.000 0.000 0.000
3.318 1.916 5.600
4.977 2.874 8.438
1.659 0.958 2.762